# 1
LaHoH8Rh2 | PBE | relaxed

Cell: 4.9121 4.9121 18.1027 Å, 90.00 90.00 120.00°
Space group R-3 (No. 148, hexagonal axes)
Asymmetric unit:
La: 0.0000 0.0000 0.0000 [3 per cell]
Ho: 0.0000 0.0000 0.5000 [3 per cell]
H: 0.0000 0.0000 0.3177 [6 per cell]
H: 0.0460 0.2855 0.8917 [18 per cell]
Rh: 0.0000 0.0000 0.2285 [6 per cell]

Final energy ... -55.0 eV per formula unit


# 2
V4Pt2N | PBE | relaxed

Cell: 3.929 3.929 12.509 Å, 90.00 90.00 90.00°
Space group I4/mmm (No. 139)
Asymmetric unit:
V: 0.000 0.000 0.163 [4 per cell]
V: 0.000 0.500 0.000 [4 per cell]
Pt: 0.000 0.000 0.358 [4 per cell]
N: 0.000 0.000 0.000 [2 per cell]

Final energy ... -60.3 eV per formula unit
Excess energy over the best structure of this formula in the dataset ... 122 meV/atom


# 3
Pm6Si3H | PBE | relaxed

Cell: 6.338 8.100 11.763 Å, 90.00 122.45 90.00°
Space group P2_1/c (No. 14)
Asymmetric unit:
Pm: 0.070 0.182 0.440 [4 per cell]
Pm: 0.297 0.672 0.442 [4 per cell]
Pm: 0.369 0.040 0.233 [4 per cell]
Si: 0.175 0.119 0.749 [4 per cell]
Si: 0.500 0.000 0.500 [2 per cell]
H: 0.000 0.000 0.000 [2 per cell]

Final energy ... -52.7 eV per formula unit